TaAgSb | the Alexandria database | meta-GGA SCAN | single point on PBEsol structure; symmetry = I4mm; E_form (uncorrected) = 481 meV/atom; DFT total energy = -133.77 eV for the cell shown; M_tot = 0.0 μB/cell; N(E_F) = 1.164 states/eV/atom
1.0
3.4961 0.0000 0.0000
0.0000 3.4961 0.0000
-1.7481 -1.7481 4.6618
Sb Ag Ta
1 1 1
Direct
0.6703 0.6703 0.3407
0.9999 0.9999 0.9999
0.3297 0.3297 0.6595

=====

Ba3Rh | the Alexandria database | meta-GGA SCAN | single point on PBEsol structure; symmetry = Imm2; formation enthalpy at 0 K = -0.08 eV/atom; DFT total energy = -152.75 eV for the cell shown; M_tot = 0.0 μB/cell; N(E_F) = 0.806 states/eV/atom
1.0
4.0909 0.0000 0.0000
2.0454 6.9417 -0.0666
2.0454 3.1034 6.2097
Rh Ba
1 3
Direct
0.0000 0.2828 0.7172
0.6668 0.2842 0.3821
0.3332 0.6179 0.7158
0.5000 0.9818 0.0182

=====

Ba2CrCdCu | the Alexandria database | meta-GGA SCAN | single point on PBEsol structure; symmetry = P4/mmm; formation enthalpy at 0 K = 0.56 eV/atom; DFT total energy = -140.31 eV for the cell shown; M_tot = 3.9 μB/cell; N(E_F) = 0.814 states/eV/atom
1.0
-4.3971 -2.5023 0.1816
2.6844 -4.8684 -2.0823
1.2039 -1.7123 5.5553
Cr Ba Cu Cd
1 2 1 1
Direct
0.0000 0.0000 0.0000
0.0000 0.0000 0.5000
0.0000 0.5000 0.0000
0.5000 0.5000 0.5000
0.5000 0.0000 0.0000

=====

Re3Ir | the Alexandria database | meta-GGA SCAN | single point on PBEsol structure; symmetry = C2/m; formation enthalpy at 0 K = -0.07 eV/atom; DFT total energy = -284.67 eV for the cell shown; M_tot = 0.0 μB/cell; N(E_F) = 0.859 states/eV/atom
1.0
2.7203 0.0000 0.0000
-1.3601 4.5388 0.0025
0.0000 -0.8232 4.6681
Ir Re
1 3
Direct
0.0000 0.0000 0.0000
0.7505 0.5010 0.2508
0.5000 0.0000 0.5000
0.2495 0.4990 0.7492

=====

GeBi2TeS | the Alexandria database | meta-GGA SCAN | single point on PBEsol structure; symmetry = P4/mmm; E_form (uncorrected) = 709 meV/atom; DFT total energy = -219.58 eV for the cell shown; M_tot = 0.0 μB/cell; N(E_F) = 1.038 states/eV/atom
1.0
-0.2001 -4.7371 -1.9464
5.2841 -0.4156 0.4683
-0.5906 -1.9884 4.9001
S Ge Te Bi
1 1 1 2
Direct
0.0000 0.0000 0.0000
0.5000 0.5000 0.5000
0.5000 0.0000 0.0000
0.0000 0.0000 0.5000
0.0000 0.5000 0.0000

=====

CaBeCo | the Alexandria database | meta-GGA SCAN | single point on PBEsol structure; symmetry = I4mm; formation enthalpy at 0 K = 0.23 eV/atom; DFT total energy = -30.63 eV for the cell shown; M_tot = 0.6 μB/cell; N(E_F) = 0.472 states/eV/atom
1.0
-0.4819 -2.9297 0.4731
2.0942 0.0039 2.1572
-4.2364 2.5646 2.0129
Be Ca Co
1 1 1
Direct
0.0567 0.0567 0.1134
0.3304 0.3304 0.6608
0.6129 0.6129 0.2259

=====

YSnRh | the Alexandria database | meta-GGA SCAN | single point on PBEsol structure; symmetry = P-62m; formation enthalpy at 0 K = -1.04 eV/atom; DFT total energy = -301.94 eV for the cell shown; M_tot = 0.0 μB/cell; N(E_F) = 0.638 states/eV/atom
1.0
3.7407 0.0000 0.0000
0.0000 7.5106 0.0000
0.0000 -3.7553 6.5044
Y Rh Sn
3 3 3
Direct
0.5000 0.0000 0.5948
0.5000 0.4052 0.4052
0.5000 0.5948 0.0000
0.0000 0.3333 0.6667
0.5000 0.0000 0.0000
0.0000 0.6667 0.3333
0.0000 0.0000 0.2631
0.0000 0.2631 0.0000
0.0000 0.7369 0.7369

=====

AgSbIr | the Alexandria database | meta-GGA SCAN | single point on PBEsol structure; symmetry = F-43m; E_form (uncorrected) = 297 meV/atom; DFT total energy = -138.84 eV for the cell shown; M_tot = 0.0 μB/cell; N(E_F) = 0.605 states/eV/atom
1.0
-3.9984 -0.9308 1.4813
-0.5933 -0.9823 4.2108
-2.0630 2.8096 2.6265
Sb Ir Ag
1 1 1
Direct
0.2500 0.2500 0.2500
0.5000 0.5000 0.5000
0.0000 0.0000 0.0000